First-principles (PBE) data for crystalline PrSmDy2Er2 at its relaxed geometry, as listed in Alexandria via LeMat-Bulk.

Cell: 6.5630 17.8706 3.4007 Å, 90.00 90.00 90.00°
Last column: nearest neighbours and their distance in Å.
Fractional positions:
Pr (0.0000, 0.0000, 0.0000)  2 Er 3.24, 2 Pr 3.40
Pr (0.5000, 0.5000, 0.5000)  2 Er 3.24, 2 Pr 3.40
Sm (0.0000, 0.5000, 0.0000)  2 Sm 3.40, 4 Er 3.48, 4 Pr 3.70
Sm (0.5000, 0.0000, 0.5000)  2 Sm 3.40, 4 Er 3.48, 4 Pr 3.70
Dy (0.2232, 0.1864, 0.0000)  4 Er 3.33-3.39, 2 Dy 3.40, 1 Pr 3.64
Dy (0.2768, 0.6864, 0.5000)  4 Er 3.33-3.39, 2 Dy 3.40, 1 Pr 3.64
Dy (0.7232, 0.3136, 0.5000)  4 Er 3.33-3.39, 2 Dy 3.40, 1 Pr 3.64
Dy (0.7768, 0.8136, 0.0000)  4 Er 3.33-3.39, 2 Dy 3.40, 1 Pr 3.64
Er (0.2212, 0.3507, 0.5000)  1 Pr 3.24, 4 Dy 3.33-3.39, 2 Er 3.40, 2 Sm 3.48
Er (0.2788, 0.8507, 0.0000)  1 Pr 3.24, 4 Dy 3.33-3.39, 2 Er 3.40, 2 Sm 3.48
Er (0.7212, 0.1493, 0.0000)  1 Pr 3.24, 4 Dy 3.33-3.39, 2 Er 3.40, 2 Sm 3.48
Er (0.7788, 0.6493, 0.5000)  1 Pr 3.24, 4 Dy 3.33-3.39, 2 Er 3.40, 2 Sm 3.48

Calculated values
**Space group**: Pnnm
**Energy**: -4.36 eV/atom
**Calculated formation energy**: 0.2793 eV per atom
**Density of states at the Fermi level**: 19.1 states/eV/cell

---

First-principles (PBE) data for crystalline Pr2Sm6DyEr at its relaxed geometry, as listed in Alexandria via LeMat-Bulk.

Cell: 8.9125 8.9125 9.8365 Å, 94.51 94.51 118.18°
Last column: nearest neighbours and their distance in Å.
Fractional positions:
Pr (0.1945, 0.2970, 0.0417)  5 Sm 3.28-3.54, 2 Dy 3.40-3.43, 1 Er 3.60
Pr (0.2970, 0.1945, 0.5417)  5 Sm 3.28-3.54, 2 Dy 3.40-3.43, 1 Er 3.60
Pr (0.7030, 0.8055, 0.4583)  5 Sm 3.28-3.54, 2 Dy 3.40-3.43, 1 Er 3.60
Pr (0.8055, 0.7030, 0.9583)  5 Sm 3.28-3.54, 2 Dy 3.40-3.43, 1 Er 3.60
Sm (0.0183, 0.5760, 0.1894)  3 Sm 3.31-3.67, 1 Pr 3.43, 1 Er 3.48, 1 Dy 3.62
Sm (0.1245, 0.7488, 0.5562)  7 Sm 3.45-3.81, 1 Pr 3.54, 1 Dy 3.68, 1 Er 3.86
Sm (0.2512, 0.8755, 0.9438)  7 Sm 3.45-3.81, 1 Pr 3.54, 1 Dy 3.68, 1 Er 3.86
Sm (0.2919, 0.5011, 0.3803)  3 Pr 3.28-3.50, 4 Sm 3.31-3.61, 2 Er 3.46-3.62
Sm (0.4240, 0.9817, 0.3106)  3 Sm 3.31-3.67, 1 Pr 3.43, 1 Er 3.48, 1 Dy 3.62
Sm (0.4989, 0.7081, 0.1197)  3 Pr 3.28-3.50, 4 Sm 3.31-3.61, 2 Er 3.46-3.62
Sm (0.5011, 0.2919, 0.8803)  3 Pr 3.28-3.50, 4 Sm 3.31-3.61, 2 Er 3.46-3.62
Sm (0.5760, 0.0183, 0.6894)  3 Sm 3.31-3.67, 1 Pr 3.43, 1 Er 3.48, 1 Dy 3.62
Sm (0.7081, 0.4989, 0.6197)  3 Pr 3.28-3.50, 4 Sm 3.31-3.61, 2 Er 3.46-3.62
Sm (0.7488, 0.1245, 0.0562)  7 Sm 3.45-3.81, 1 Pr 3.54, 1 Dy 3.68, 1 Er 3.86
Sm (0.8755, 0.2512, 0.4438)  7 Sm 3.45-3.81, 1 Pr 3.54, 1 Dy 3.68, 1 Er 3.86
Sm (0.9817, 0.4240, 0.8106)  3 Sm 3.31-3.67, 1 Pr 3.43, 1 Er 3.48, 1 Dy 3.62
Dy (0.0180, 0.9820, 0.2500)  4 Pr 3.40-3.43, 4 Sm 3.62-3.68
Dy (0.9820, 0.0180, 0.7500)  4 Pr 3.40-3.43, 4 Sm 3.62-3.68
Er (0.4075, 0.5925, 0.7500)  8 Sm 3.46-3.86, 2 Pr 3.60
Er (0.5925, 0.4075, 0.2500)  8 Sm 3.46-3.86, 2 Pr 3.60

Calculated values
**Space group**: C2/c
**Energy**: -4.59 eV/atom
**Calculated formation energy**: 0.1161 eV per atom
**Density of states at the Fermi level**: 28.5 states/eV/cell

---

First-principles (PBE) data for crystalline Pr5SmDyEr2 at its relaxed geometry, as listed in Alexandria via LeMat-Bulk.

Cell: 10.6688 10.6688 10.7874 Å, 90.00 90.00 149.13°
Last column: nearest neighbours and their distance in Å.
Fractional positions:
Pr (0.0155, 0.9845, 0.5000)  2 Dy 3.30, 3 Er 3.50-3.60
Pr (0.2803, 0.7197, 0.7923)  1 Dy 3.10, 1 Er 3.39, 2 Pr 3.44
Pr (0.2958, 0.7042, 0.1852)  3 Pr 3.44-3.85, 1 Dy 3.51, 3 Sm 3.53-3.85, 3 Er 3.57-3.82
Pr (0.3871, 0.6129, 0.5042)  6 Pr 3.59-3.92, 4 Er 3.65-3.68, 1 Sm 3.86
Pr (0.4819, 0.5181, 0.2245)  2 Dy 3.24-3.40, 2 Er 3.55, 2 Pr 3.59
Pr (0.5181, 0.4819, 0.7245)  2 Dy 3.24-3.40, 2 Er 3.55, 2 Pr 3.59
Pr (0.6129, 0.3871, 0.0042)  6 Pr 3.59-3.92, 4 Er 3.65-3.68, 1 Sm 3.86
Pr (0.7042, 0.2958, 0.6852)  3 Pr 3.44-3.85, 1 Dy 3.51, 3 Sm 3.53-3.85, 3 Er 3.57-3.82
Pr (0.7197, 0.2803, 0.2923)  1 Dy 3.10, 1 Er 3.39, 2 Pr 3.44
Pr (0.9845, 0.0155, 0.0000)  2 Dy 3.30, 3 Er 3.50-3.60
Sm (0.1995, 0.8005, 0.4912)  2 Er 3.43-3.68, 6 Pr 3.53-3.79, 2 Dy 3.65
Sm (0.8005, 0.1995, 0.9912)  2 Er 3.43-3.68, 6 Pr 3.53-3.79, 2 Dy 3.65
Dy (0.4089, 0.5911, 0.9415)  5 Pr 3.10-3.40
Dy (0.5911, 0.4089, 0.4415)  5 Pr 3.10-3.40
Er (0.1113, 0.8887, 0.2209)  1 Sm 3.43, 7 Pr 3.53-3.82, 2 Dy 3.73
Er (0.1154, 0.8846, 0.7923)  9 Pr 3.39-3.76, 1 Sm 3.68
Er (0.8846, 0.1154, 0.2923)  9 Pr 3.39-3.76, 1 Sm 3.68
Er (0.8887, 0.1113, 0.7209)  1 Sm 3.43, 7 Pr 3.53-3.82, 2 Dy 3.73

Calculated values
**Space group**: Cmc2_1
**Energy**: -4.56 eV/atom
**Calculated formation energy**: 0.1438 eV per atom
**Density of states at the Fermi level**: 28.6 states/eV/cell

---

First-principles (PBE) data for crystalline Pr4Sm2DyEr at its relaxed geometry, as listed in Alexandria via LeMat-Bulk.

Cell: 5.1652 5.1966 10.1942 Å, 90.00 90.07 90.00°
Last column: nearest neighbours and their distance in Å.
Fractional positions:
Pr (0.9995, 0.0000, 0.2490)  2 Er 3.62, 4 Sm 3.63-3.64, 2 Dy 3.65, 4 Pr 3.66
Pr (0.0005, 0.0000, 0.7510)  2 Er 3.62, 4 Sm 3.63-3.64, 2 Dy 3.65, 4 Pr 3.66
Pr (0.4999, 0.5000, 0.2498)  4 Sm 3.62-3.64, 2 Dy 3.63, 2 Er 3.64, 4 Pr 3.66
Pr (0.5001, 0.5000, 0.7502)  4 Sm 3.62-3.64, 2 Dy 3.63, 2 Er 3.64, 4 Pr 3.66
Sm (0.0000, 0.5000, 0.0000)  8 Pr 3.62-3.63, 4 Er 3.66
Sm (0.5000, 0.0000, 0.5000)  8 Pr 3.64, 4 Dy 3.66
Dy (0.0000, 0.5000, 0.5000)  8 Pr 3.63-3.65, 4 Sm 3.66
Er (0.5000, 0.0000, 0.0000)  8 Pr 3.62-3.64, 4 Sm 3.66

Calculated values
**Space group**: P2/m
**Energy**: -4.70 eV/atom
**Calculated formation energy**: 0.0147 eV per atom
**Density of states at the Fermi level**: 10.8 states/eV/cell

---

First-principles (PBE) data for crystalline Pr6Sm2Dy3Er at its relaxed geometry, as listed in Alexandria via LeMat-Bulk.

Cell: 6.3256 6.3256 11.9538 Å, 95.05 95.05 120.01°
Last column: nearest neighbours and their distance in Å.
Fractional positions:
Pr (0.0838, 0.4163, 0.7512)  3 Dy 3.61, 1 Er 3.63, 2 Sm 3.63, 6 Pr 3.64-3.66
Pr (0.2489, 0.2489, 0.2485)  3 Dy 3.60-3.61, 1 Er 3.63, 2 Sm 3.64, 6 Pr 3.64-3.66
Pr (0.4163, 0.0838, 0.7512)  3 Dy 3.61, 1 Er 3.63, 2 Sm 3.63, 6 Pr 3.64-3.66
Pr (0.5837, 0.9162, 0.2488)  3 Dy 3.61, 1 Er 3.63, 2 Sm 3.63, 6 Pr 3.64-3.66
Pr (0.7511, 0.7511, 0.7515)  3 Dy 3.60-3.61, 1 Er 3.63, 2 Sm 3.64, 6 Pr 3.64-3.66
Pr (0.9162, 0.5837, 0.2488)  3 Dy 3.61, 1 Er 3.63, 2 Sm 3.63, 6 Pr 3.64-3.66
Sm (0.3332, 0.6668, 0.5000)  6 Pr 3.63-3.64, 3 Sm 3.65-3.66, 3 Er 3.65
Sm (0.6668, 0.3332, 0.5000)  6 Pr 3.63-3.64, 3 Sm 3.65-3.66, 3 Er 3.65
Dy (0.1665, 0.8335, 0.0000)  6 Pr 3.60-3.61, 6 Dy 3.65
Dy (0.5000, 0.5000, 0.0000)  6 Pr 3.61, 6 Dy 3.65
Dy (0.8335, 0.1665, 0.0000)  6 Pr 3.60-3.61, 6 Dy 3.65
Er (0.0000, 0.0000, 0.5000)  6 Pr 3.63, 6 Sm 3.65

Calculated values
**Space group**: C2/m
**Energy**: -4.70 eV/atom
**Calculated formation energy**: 0.0118 eV per atom
**Density of states at the Fermi level**: 14.2 states/eV/cell

---

First-principles (PBE) data for crystalline Pr4Sm2DyEr2 at its relaxed geometry, as listed in Alexandria via LeMat-Bulk.

Cell: 8.1381 8.1381 8.0910 Å, 107.58 107.58 36.85°
Last column: nearest neighbours and their distance in Å.
Fractional positions:
Pr (0.0542, 0.0542, 0.3299)  2 Er 3.61-3.63, 2 Dy 3.61, 4 Sm 3.63-3.67, 4 Pr 3.65-3.67
Pr (0.2777, 0.2777, 0.6702)  3 Er 3.59-3.61, 1 Dy 3.62, 3 Sm 3.63-3.68, 5 Pr 3.65-3.67
Pr (0.7223, 0.7223, 0.3298)  3 Er 3.59-3.61, 1 Dy 3.62, 3 Sm 3.63-3.68, 5 Pr 3.65-3.67
Pr (0.9458, 0.9458, 0.6701)  2 Er 3.61-3.63, 2 Dy 3.61, 4 Sm 3.63-3.67, 4 Pr 3.65-3.67
Sm (0.3884, 0.3884, 0.3295)  3 Er 3.60, 1 Dy 3.61, 7 Pr 3.63-3.68, 1 Sm 3.67
Sm (0.6116, 0.6116, 0.6705)  3 Er 3.60, 1 Dy 3.61, 7 Pr 3.63-3.68, 1 Sm 3.67
Dy (0.5000, 0.5000, 0.0000)  2 Sm 3.61, 6 Pr 3.61-3.62, 4 Er 3.65
Er (0.1672, 0.1672, 0.9996)  5 Pr 3.59-3.63, 3 Sm 3.60, 2 Er 3.62, 2 Dy 3.65
Er (0.8328, 0.8328, 0.0004)  5 Pr 3.59-3.63, 3 Sm 3.60, 2 Er 3.62, 2 Dy 3.65

Calculated values
**Space group**: C2/m
**Energy**: -4.68 eV/atom
**Calculated formation energy**: 0.0230 eV per atom
**Density of states at the Fermi level**: 14.5 states/eV/cell

---

First-principles (PBE) data for crystalline PrSm2Dy6Er at its relaxed geometry, as listed in Alexandria via LeMat-Bulk.

Cell: 8.8000 8.8000 9.6498 Å, 94.09 94.09 117.92°
Last column: nearest neighbours and their distance in Å.
Fractional positions:
Pr (0.0210, 0.9790, 0.7500)  4 Sm 3.39-3.41, 4 Dy 3.61-3.69
Pr (0.9790, 0.0210, 0.2500)  4 Sm 3.39-3.41, 4 Dy 3.61-3.69
Sm (0.1975, 0.3008, 0.5444)  6 Dy 3.27-3.64, 2 Pr 3.39-3.41, 1 Er 3.54
Sm (0.3008, 0.1975, 0.0444)  6 Dy 3.27-3.64, 2 Pr 3.39-3.41, 1 Er 3.54
Sm (0.6992, 0.8025, 0.9556)  6 Dy 3.27-3.64, 2 Pr 3.39-3.41, 1 Er 3.54
Sm (0.8025, 0.6992, 0.4556)  6 Dy 3.27-3.64, 2 Pr 3.39-3.41, 1 Er 3.54
Dy (0.0184, 0.5691, 0.6851)  2 Dy 3.23-3.57, 1 Sm 3.41, 1 Er 3.46, 1 Pr 3.61
Dy (0.1238, 0.7442, 0.0572)  7 Dy 3.41-3.75, 1 Sm 3.55, 1 Pr 3.69, 1 Er 3.79
Dy (0.2558, 0.8762, 0.4428)  7 Dy 3.41-3.75, 1 Sm 3.55, 1 Pr 3.69, 1 Er 3.79
Dy (0.2936, 0.5079, 0.8810)  4 Dy 3.23-3.49, 3 Sm 3.27-3.45, 2 Er 3.42-3.56
Dy (0.4309, 0.9816, 0.8149)  2 Dy 3.23-3.57, 1 Sm 3.41, 1 Er 3.46, 1 Pr 3.61
Dy (0.4921, 0.7064, 0.6190)  4 Dy 3.23-3.49, 3 Sm 3.27-3.45, 2 Er 3.42-3.56
Dy (0.5079, 0.2936, 0.3810)  4 Dy 3.23-3.49, 3 Sm 3.27-3.45, 2 Er 3.42-3.56
Dy (0.5691, 0.0184, 0.1851)  2 Dy 3.23-3.57, 1 Sm 3.41, 1 Er 3.46, 1 Pr 3.61
Dy (0.7064, 0.4921, 0.1190)  4 Dy 3.23-3.49, 3 Sm 3.27-3.45, 2 Er 3.42-3.56
Dy (0.7442, 0.1238, 0.5572)  7 Dy 3.41-3.75, 1 Sm 3.55, 1 Pr 3.69, 1 Er 3.79
Dy (0.8762, 0.2558, 0.9428)  7 Dy 3.41-3.75, 1 Sm 3.55, 1 Pr 3.69, 1 Er 3.79
Dy (0.9816, 0.4309, 0.3149)  2 Dy 3.23-3.57, 1 Sm 3.41, 1 Er 3.46, 1 Pr 3.61
Er (0.4084, 0.5916, 0.2500)  8 Dy 3.42-3.79, 2 Sm 3.54
Er (0.5916, 0.4084, 0.7500)  8 Dy 3.42-3.79, 2 Sm 3.54

Calculated values
**Space group**: C2/c
**Energy**: -4.52 eV/atom
**Calculated formation energy**: 0.1171 eV per atom
**Density of states at the Fermi level**: 28.0 states/eV/cell

---

First-principles (PBE) data for crystalline Pr4SmDy2Er at its relaxed geometry, as listed in Alexandria via LeMat-Bulk.

Cell: 5.1559 5.1862 10.1397 Å, 90.00 90.00 90.00°
Last column: nearest neighbours and their distance in Å.
Fractional positions:
Pr (0.0000, 0.0000, 0.2481)  2 Er 3.60, 4 Dy 3.61-3.63, 2 Sm 3.64, 4 Pr 3.66
Pr (0.0000, 0.0000, 0.7519)  2 Er 3.60, 4 Dy 3.61-3.63, 2 Sm 3.64, 4 Pr 3.66
Pr (0.5000, 0.5000, 0.2479)  4 Dy 3.60-3.64, 2 Er 3.61, 2 Sm 3.63, 4 Pr 3.66
Pr (0.5000, 0.5000, 0.7521)  4 Dy 3.60-3.64, 2 Er 3.61, 2 Sm 3.63, 4 Pr 3.66
Sm (0.0000, 0.5000, 0.5000)  8 Pr 3.63-3.64, 4 Dy 3.66
Dy (0.0000, 0.5000, 0.0000)  8 Pr 3.60-3.61, 4 Er 3.66
Dy (0.5000, 0.0000, 0.5000)  8 Pr 3.63-3.64, 4 Sm 3.66
Er (0.5000, 0.0000, 0.0000)  8 Pr 3.60-3.61, 4 Dy 3.66

Calculated values
**Space group**: Pmmm
**Energy**: -4.69 eV/atom
**Calculated formation energy**: 0.0145 eV per atom
**Density of states at the Fermi level**: 10.6 states/eV/cell